1.
Mn2MoIrSe at its PBEsol-relaxed geometry. Source: the Alexandria database, functional SCAN.

```
5
Lattice="-3.312 -2.703 0.785 1.477 -0.636 4.038 -2.516 3.511 1.473" Properties=species:S:1:pos:R:3 pbc="T T T"
Se 0.000 0.000 0.000
Mn 0.738 -0.318 2.019
Ir -1.258 1.755 0.736
Mo -2.176 0.086 3.148
Mn -1.656 -1.351 0.393
```

## Properties
ΔE_f (raw) = 788 meV/atom
Fermi-level density of states = 0.506 states/eV per atom
V = 86 Å³ per cell
space group = P4/mmm, No. 123

---

2.
ZrCrOs2 at its PBEsol-relaxed geometry. Source: the Alexandria database, functional SCAN.

```
4
Lattice="-1.920 -0.721 -1.815 4.051 -1.122 -2.787 -1.075 -3.108 3.910" Properties=species:S:1:pos:R:3 pbc="T T T"
Cr 2.025 -0.561 -1.393
Os -0.537 -1.554 1.955
Zr -0.960 -0.360 -0.908
Os 0.528 -2.475 -0.346
```

## Properties
Fermi-level density of states = 0.915 states/eV per atom
ΔE_f = 12 kJ per mole of atoms
V = 59 Å³ per cell
space group = C2/m, No. 12

---

3.
MnReAg2 at its PBEsol-relaxed geometry. Source: the Alexandria database, functional SCAN.

```
4
Lattice="-1.855 -2.116 -0.079 1.870 -1.686 1.258 -2.643 2.066 6.698" Properties=species:S:1:pos:R:3 pbc="T T T"
Re -1.859 -0.442 5.320
Mn -1.403 1.096 3.554
Ag -2.631 2.056 6.666
Ag -0.700 -1.348 2.384
```

## Properties
Fermi-level density of states = 0.559 states/eV per atom
ΔE_f = 36 kJ per mole of atoms
V = 59 Å³ per cell
space group = P4mm, No. 99

---

4.
RbCo2S2 at its PBEsol-relaxed geometry. Source: the Alexandria database, functional SCAN.

```
5
Lattice="3.678 0.000 0.000 0.000 3.678 0.000 -1.839 -1.839 6.505" Properties=species:S:1:pos:R:3 pbc="T T T"
Rb 0.000 0.000 0.000
S 1.839 1.839 2.069
Co 1.839 0.000 3.252
Co 0.000 1.839 3.252
S 0.000 0.000 4.435
```

## Properties
ΔE_f (raw) = -637 meV/atom
Fermi-level density of states = 0.730 states/eV per atom
V = 88 Å³ per cell
space group = I4/mmm, No. 139

---

5.
NiTe2Cl at its PBEsol-relaxed geometry. Source: the Alexandria database, functional SCAN.

```
4
Lattice="4.906 0.005 0.008 -1.972 4.472 -0.075 -1.972 -1.865 4.065" Properties=species:S:1:pos:R:3 pbc="T T T"
Ni 0.480 1.306 1.999
Cl 2.453 0.003 0.004
Te -0.986 -0.933 2.033
Te -0.986 2.236 -0.037
```

## Properties
ΔE_f (raw) = 222 meV/atom
Fermi-level density of states = 0.758 states/eV per atom
V = 89 Å³ per cell
space group = C2/m, No. 12

---

6.
Sc2MnAl at its PBEsol-relaxed geometry. Source: the Alexandria database, functional SCAN.

```
4
Lattice="3.034 0.000 0.000 1.517 2.628 0.000 1.517 0.876 9.572" Properties=species:S:1:pos:R:3 pbc="T T T"
Mn 0.000 0.000 0.000
Sc 4.551 2.628 2.458
Al 3.034 1.752 4.786
Sc 1.517 0.876 7.114
```

## Properties
Fermi-level density of states = 0.950 states/eV per atom
ΔE_f = 19 kJ per mole of atoms
V = 76 Å³ per cell
space group = R-3m, No. 166

---

7.
Ca2OsPt at its PBEsol-relaxed geometry. Source: the Alexandria database, functional SCAN.

```
4
Lattice="2.781 0.000 0.000 0.000 4.821 0.000 0.000 0.000 5.766" Properties=species:S:1:pos:R:3 pbc="T T T"
Pt 1.390 2.411 4.493
Ca 1.390 2.411 1.711
Ca 0.000 0.000 5.496
Os 0.000 0.000 2.716
```

## Properties
Fermi-level density of states = 0.630 states/eV per atom
ΔE_f = 18 kJ per mole of atoms
V = 77 Å³ per cell
ΔE to the lowest computed polymorph = 267 meV per atom
space group = Pmm2, No. 25

---

8.
LaTa2AlS at its PBEsol-relaxed geometry. Source: the Alexandria database, functional SCAN.

```
5
Lattice="4.596 0.000 0.000 0.000 4.596 0.000 0.000 0.000 5.122" Properties=species:S:1:pos:R:3 pbc="T T T"
Ta 0.000 2.298 0.000
Al 0.000 0.000 2.561
S 0.000 0.000 0.000
Ta 2.298 0.000 0.000
La 2.298 2.298 2.561
```

## Properties
ΔE_f (raw) = 178 meV/atom
Fermi-level density of states = 0.742 states/eV per atom
V = 108 Å³ per cell
space group = P4/mmm, No. 123

---

9.
KBa2Bi2 at its PBEsol-relaxed geometry. Source: the Alexandria database, functional SCAN.

```
5
Lattice="5.850 0.000 0.000 0.000 5.850 0.000 -2.925 -2.925 7.135" Properties=species:S:1:pos:R:3 pbc="T T T"
K 0.000 0.000 0.000
Bi 0.000 0.000 5.523
Bi 2.925 2.925 1.612
Ba 2.925 0.000 3.567
Ba 0.000 2.925 3.567
```

## Properties
Fermi-level density of states = 0.409 states/eV per atom
ΔE_f = -56 kJ per mole of atoms
V = 244 Å³ per cell
ΔE to the lowest computed polymorph = 262 meV per atom
space group = I4/mmm, No. 139

---

10.
Sb3O8 at its PBEsol-relaxed geometry. Source: the Alexandria database, functional SCAN.

```
66
Lattice="-7.050 0.152 5.417 -5.734 -1.248 -7.427 0.618 -9.805 1.079" Properties=species:S:1:pos:R:3 pbc="T T T"
O -8.934 -8.781 0.850
O -10.907 -2.729 -2.073
Sb -5.349 -0.914 -4.736
O -3.202 -0.948 0.833
Sb -6.536 -7.221 6.188
O -4.002 -3.390 2.038
O -6.032 -2.552 -5.578
O -1.611 -3.357 0.363
O -1.258 -8.173 1.142
O -4.097 -9.331 0.024
Sb -5.067 -5.815 -4.232
O -8.626 -9.257 3.582
O -6.496 -4.368 1.405
O -6.698 -9.945 -3.579
O -5.468 -0.956 2.648
O -4.160 -4.475 -0.315
O -7.978 -1.940 1.822
O -10.554 -7.544 -1.294
Sb -7.848 -1.044 -2.821
O -5.265 -5.776 3.158
Sb -7.232 -2.965 0.125
O -5.977 -1.550 -2.988
O -6.702 -8.913 -1.027
O -8.164 -7.511 -2.969
O -6.901 -5.125 -4.090
O -8.005 -6.426 -0.616
O -8.963 -9.953 -1.764
O -10.342 -6.478 1.301
Sb -7.707 -8.536 -4.650
O -8.068 -1.570 -0.956
Sb -7.098 -5.087 3.301
O -6.782 -4.016 -1.445
O -2.764 -5.895 1.662
O -5.464 -1.988 0.096
O -4.797 -5.129 -6.053
O -5.848 -7.567 -4.954
O -3.539 -1.644 -4.513
Sb -5.629 -3.680 -7.119
O -3.634 -8.294 2.830
O -3.232 -2.120 -1.781
O -6.188 -9.351 2.057
Sb -8.724 -8.185 -1.006
Sb -2.763 -3.091 -3.405
O -4.386 -4.176 -3.390
O -3.145 -7.106 -1.344
Sb -4.933 -7.936 -1.056
O -5.670 -6.533 -2.336
O -11.415 -9.798 -0.002
Sb -4.458 -2.365 3.718
Sb -4.318 -9.857 1.890
O -9.401 -5.006 -2.594
O -6.317 -3.334 4.022
Sb -4.609 -5.325 1.384
Sb -7.557 -5.577 -2.315
Sb -6.816 -9.988 3.805
O -7.368 -5.772 5.122
O -0.751 -1.103 -0.929
O -1.824 -4.423 -2.232
O -4.188 -8.961 -2.753
O -6.134 -8.349 4.646
Sb -3.442 -2.717 0.075
Sb -9.403 -7.810 2.474
O -8.531 -2.607 -3.761
O -7.780 -6.725 2.459
O -9.020 -3.795 0.413
O -5.383 -6.885 0.514
```

## Properties
ΔE_f (raw) = -1219 meV/atom
Fermi-level density of states = 0.439 states/eV per atom
V = 832 Å³ per cell
space group = P2/c, No. 13

---

11.
LaS3Br at its PBEsol-relaxed geometry. Source: the Alexandria database, functional SCAN.

```
5
Lattice="-0.754 -2.502 -4.914 5.048 1.683 -1.631 2.219 -4.678 2.042" Properties=species:S:1:pos:R:3 pbc="T T T"
Br 3.257 -2.749 -2.252
S -0.377 -1.251 -2.457
S 1.110 -2.339 1.021
S 2.524 0.841 -0.816
La 0.000 0.000 0.000
```

## Properties
ΔE_f (raw) = -188 meV/atom
Fermi-level density of states = 1.160 states/eV per atom
V = 172 Å³ per cell
space group = Pm-3m, No. 221

---

12.
KMn3C at its PBEsol-relaxed geometry. Source: the Alexandria database, functional SCAN.

```
5
Lattice="-0.787 4.367 -0.901 -0.009 -0.916 -4.434 -4.459 -0.769 0.168" Properties=species:S:1:pos:R:3 pbc="T T T"
Mn -0.005 -0.458 -2.217
C -2.628 1.341 -2.584
Mn -2.230 -0.384 0.084
Mn -0.393 2.184 -0.450
K 0.000 0.000 0.000
```

## Properties
Fermi-level density of states = 0.590 states/eV per atom
ΔE_f = 308 kJ per mole of atoms
V = 93 Å³ per cell
space group = Pm-3m, No. 221

---

13.
NaCdC2 at its PBEsol-relaxed geometry. Source: the Alexandria database, functional SCAN.

```
8
Lattice="-2.743 -2.014 -2.054 2.814 -1.288 -2.494 1.131 -4.545 6.792" Properties=species:S:1:pos:R:3 pbc="T T T"
Cd 1.991 -3.742 1.012
C 2.968 -4.788 2.655
Cd 0.000 0.000 0.000
C 1.597 -5.795 1.627
Na 0.036 -1.651 -2.274
Na -0.788 -4.105 1.232
C 0.995 -1.871 0.506
C 2.402 -2.515 -0.741
```

## Properties
Fermi-level density of states = 0.438 states/eV per atom
ΔE_f = 185 kJ per mole of atoms
V = 123 Å³ per cell
space group = I4_1/amd, No. 141

---

14.
ScTc2Br at its PBEsol-relaxed geometry. Source: the Alexandria database, functional SCAN.

```
4
Lattice="3.058 0.012 0.000 -0.151 4.417 0.000 0.000 0.000 4.973" Properties=species:S:1:pos:R:3 pbc="T T T"
Tc 0.492 1.151 0.000
Sc 1.453 2.214 2.486
Br 0.000 0.000 2.486
Tc 2.415 3.278 0.000
```

## Properties
ΔE_f (raw) = 218 meV/atom
Fermi-level density of states = 0.567 states/eV per atom
V = 67 Å³ per cell
ΔE to the lowest computed polymorph = 0 meV per atom
space group = P2/m, No. 10

---

15.
LiAs2SeI at its PBEsol-relaxed geometry. Source: the Alexandria database, functional SCAN.

```
5
Lattice="4.448 0.000 0.000 0.000 4.853 0.000 0.000 0.000 4.853" Properties=species:S:1:pos:R:3 pbc="T T T"
As 0.000 2.427 0.000
As 0.000 0.000 2.427
Se 2.224 0.000 0.000
I 2.224 2.427 2.427
Li 0.000 0.000 0.000
```

## Properties
ΔE_f (raw) = 592 meV/atom
Fermi-level density of states = 0.899 states/eV per atom
V = 105 Å³ per cell
space group = P4/mmm, No. 123

---

16.
LiZnCl2 at its PBEsol-relaxed geometry. Source: the Alexandria database, functional SCAN.

```
4
Lattice="3.358 0.000 -0.045 0.000 3.457 0.000 -1.658 0.000 6.933" Properties=species:S:1:pos:R:3 pbc="T T T"
Cl 1.586 0.000 4.939
Zn 0.000 1.729 0.000
Li -0.829 1.729 3.466
Cl 0.113 0.000 1.949
```

## Properties
ΔE_f (raw) = -974 meV/atom
Fermi-level density of states = 0.385 states/eV per atom
V = 80 Å³ per cell
ΔE to the lowest computed polymorph = 123 meV per atom
space group = P2/m, No. 10

---

17.
YTeCl2 at its PBEsol-relaxed geometry. Source: the Alexandria database, functional SCAN.

```
4
Lattice="-1.360 -0.727 3.154 1.601 -2.300 2.114 5.462 6.450 5.797" Properties=species:S:1:pos:R:3 pbc="T T T"
Cl 0.996 0.260 2.444
Te 2.851 1.711 5.532
Cl 4.706 3.162 8.621
Y 0.000 0.000 0.000
```

## Properties
ΔE_f (raw) = -1429 meV/atom
Fermi-level density of states = 0.517 states/eV per atom
V = 107 Å³ per cell
ΔE to the lowest computed polymorph = 165 meV per atom
space group = R-3m, No. 166

---

18.
Zn2RuW at its PBEsol-relaxed geometry. Source: the Alexandria database, functional SCAN.

```
4
Lattice="-3.105 0.920 -1.766 0.616 -2.668 -2.472 -2.115 -2.654 2.337" Properties=species:S:1:pos:R:3 pbc="T T T"
Zn 0.308 -1.334 -1.236
Zn -1.553 0.460 -0.883
Ru -2.302 -2.201 -0.950
W -1.058 -1.327 1.169
```

## Properties
Fermi-level density of states = 0.626 states/eV per atom
ΔE_f = 24 kJ per mole of atoms
V = 56 Å³ per cell
space group = P4/mmm, No. 123

---

19.
CoHg2SCl at its PBEsol-relaxed geometry. Source: the Alexandria database, functional SCAN.

```
5
Lattice="4.071 0.000 0.000 0.000 5.221 0.000 0.000 0.000 5.221" Properties=species:S:1:pos:R:3 pbc="T T T"
Hg 0.000 2.610 0.000
Co 2.036 0.000 0.000
Cl 2.036 2.610 2.610
S 0.000 0.000 0.000
Hg 0.000 0.000 2.610
```

## Properties
ΔE_f (raw) = 102 meV/atom
Fermi-level density of states = 0.277 states/eV per atom
V = 111 Å³ per cell
space group = P4/mmm, No. 123

---

20.
ZrAg3 at its PBEsol-relaxed geometry. Source: the Alexandria database, functional SCAN.

```
4
Lattice="-1.097 -2.705 0.506 3.027 -0.831 2.118 -3.016 2.190 5.169" Properties=species:S:1:pos:R:3 pbc="T T T"
Ag -0.806 0.585 1.381
Zr 0.965 -1.768 1.312
Ag -0.543 -0.673 3.897
Ag -2.210 1.605 3.788
```

## Properties
Fermi-level density of states = 0.549 states/eV per atom
ΔE_f = -2 kJ per mole of atoms
V = 71 Å³ per cell
space group = Pmmm, No. 47